Computed, not measured: a relaxed Li3Ni3TeO8 crystal at the PBE+U level of DFT.

Cell lengths 6.0277, 6.0277, 6.0277 Å; angles 59.78, 59.78, 59.78 degrees
Fractional coordinates of all 15 atoms:
Li  0.0000  0.0000  0.5000
Li  0.0000  0.5000  0.0000
Li  0.5000  0.0000  0.0000
Ni  0.5000  0.5000  0.0000
Ni  0.5000  0.0000  0.5000
Ni  0.0000  0.5000  0.5000
Te  0.0000  0.0000  0.0000
O  0.7368  0.7368  0.7368
O  0.2294  0.2294  0.7669
O  0.2294  0.7669  0.2294
O  0.2632  0.2632  0.2632
O  0.7669  0.2294  0.2294
O  0.7706  0.7706  0.2331
O  0.7706  0.2331  0.7706
O  0.2331  0.7706  0.7706

Total moment, μB/cell: 5.000
DOS(E_F), states/eV per cell: 4.12
SG: No. 166
Raw total energy, eV per atom: -5.110
Crystal system: trigonal